VASP calculation (PBE) on crystalline Er2PuTcN4 at its relaxed geometry.

POSCAR file:
```
Er2PuTcN4
1.0
-0.306 3.228 0.829
-5.296 -1.647 -2.296
-3.616 -3.045 10.526
Tc N Pu Er
2 8 2 4
Direct
0.145 0.289 0.250
0.855 0.711 0.750
0.541 0.082 0.250
0.733 0.467 0.872
0.459 0.918 0.750
0.000 0.000 0.000
0.000 0.000 0.500
0.267 0.533 0.372
0.733 0.467 0.628
0.267 0.533 0.128
0.115 0.230 0.750
0.885 0.770 0.250
0.369 0.739 0.541
0.631 0.261 0.041
0.369 0.739 0.959
0.631 0.261 0.459
```

Results
**Calculated total energy**: -9.431 eV/atom
**SG**: No. 63